[1]
A relaxed structure of Li2TaAs, computed with PBE-GGA.

a = 4.4076 Å, b = 4.4076 Å, c = 4.4076 Å
α = 60.00°, β = 60.00°, γ = 60.00°
Fractional positions:
Li 0.0000 0.0000 0.0000
Li 0.2500 0.2500 0.2500
Ta 0.7500 0.7500 0.7500
As 0.5000 0.5000 0.5000

Computed properties:
The value obtained for the total magnetic moment is 0.512 μB per cell.

[2]
A relaxed structure of NaFe2W, computed with PBE-GGA.

a = 4.2330 Å, b = 4.2330 Å, c = 4.2330 Å
α = 60.00°, β = 60.00°, γ = 60.00°
Fractional positions:
Na 0.0000 0.0000 0.0000
Fe 0.2500 0.2500 0.2500
Fe 0.7500 0.7500 0.7500
W 0.5000 0.5000 0.5000

Computed properties:
The relative energy among the computed polymorphs is 0.000 eV per atom. The value obtained for the total magnetic moment is 0.756 μB per cell.

[3]
A relaxed structure of K2CaOs, computed with PBE-GGA.

a = 6.6549 Å, b = 6.6549 Å, c = 6.6549 Å
α = 140.25°, β = 140.25°, γ = 57.47°
Fractional positions:
K 0.2500 0.7500 0.5000
K 0.7500 0.2500 0.5000
Ca 0.0000 0.0000 0.0000
Os 0.5000 0.5000 0.0000

Computed properties:
The relative energy among the computed polymorphs is 0.370 eV per atom. The value obtained for the total magnetic moment is 0.697 μB per cell.

Looking at electronic total energy for the records above, in order, we have -4.96 -6.98 -2.72 eV per atom.